{"formula": "Sm3WO7", "functional": "PBE+U", "state": "optimized geometry", "mass_density_g_cm3": 7.9, "total_magnetization_mub_per_fu": 1.0, "total_energy_ev_per_atom": -8.185, "lattice_angstrom": [[-3.725, -5.467, -0.050], [1.367, 1.636, 6.262], [-6.311, 4.298, 0.255]], "species": ["Sm", "O", "O", "W", "W", "O", "O", "Sm", "O", "O", "Sm", "O", "O", "O", "O", "O", "Sm", "O", "O", "Sm", "Sm", "O"], "fractional_positions": [[0.466, 0.000, 0.754], [0.936, 0.688, 0.468], [0.080, 0.321, 0.526], [0.000, 0.000, 0.000], [0.000, 0.000, 0.500], [0.369, 0.631, 0.250], [0.636, 0.364, 0.250], [0.481, 0.481, 0.500], [0.064, 0.312, 0.968], [0.321, 0.080, 0.474], [0.534, 0.000, 0.254], [0.688, 0.936, 0.532], [0.364, 0.636, 0.750], [0.631, 0.369, 0.750], [0.070, 0.930, 0.750], [0.930, 0.070, 0.250], [0.519, 0.519, 0.000], [0.920, 0.679, 0.026], [0.679, 0.920, 0.974], [0.000, 0.534, 0.746], [0.000, 0.466, 0.246], [0.312, 0.064, 0.032]]}